VASP calculation (GGA-PBE) on a relaxed Mg3Np2N4 crystal.

Output
total moment = 4.6 μB per cell
electronic total energy = -0.28923 Ha/atom
crystal system = monoclinic

a = 3.1882 Å, b = 5.3704 Å, c = 7.4422 Å
α = 71.72°, β = 77.63°, γ = 72.73°
Closest atoms and distances in Å follow each position.
Sites, in units of the cell vectors:
N1 0.8168 0.0591 0.3073  2 Np 2.24, 3 Mg 2.31-2.33
Mg1 0.0000 0.0000 0.0000  6 N 2.24-2.33
Mg2 0.2255 0.3791 0.1699  5 N 2.18-2.31
N2 0.4015 0.3094 0.8875  1 Np 2.17, 5 Mg 2.18-2.24
Np1 0.5715 0.2554 0.6016  3 N 2.17-2.24
N3 0.1832 0.9409 0.6927  2 Np 2.24, 3 Mg 2.31-2.33
N4 0.5985 0.6906 0.1125  1 Np 2.17, 5 Mg 2.18-2.24
Np2 0.4285 0.7446 0.3984  3 N 2.17-2.24
Mg3 0.7745 0.6209 0.8301  5 N 2.18-2.31

***

VASP calculation (GGA-PBE) on a relaxed InIrBr2 crystal.

Output
total moment = 0.0 μB per cell
energy above the lowest structure with this stoichiometry = 37 meV/atom
crystal system = monoclinic

a = 5.4661 Å, b = 5.4661 Å, c = 7.0948 Å
α = 65.75°, β = 65.75°, γ = 38.71°
Closest atoms and distances in Å follow each position.
Sites, in units of the cell vectors:
Ir1 0.2988 0.2988 0.3752  4 Br 2.54, 1 In 2.79
In1 0.5696 0.5696 0.3740  3 Ir 2.79-2.98, 2 Br 3.10-3.11
Br1 0.9000 0.9000 0.0974  2 Ir 2.54
Br2 0.7316 0.7316 0.6534  2 Ir 2.54

***

VASP calculation (GGA-PBE) on a relaxed ZrMo2Pd crystal.

Output
total moment = 0.0 μB per cell
energy above the lowest structure with this stoichiometry = 0 meV/atom
ΔE_f = 0.2690 eV/atom
crystal system = cubic

a = 4.5840 Å, b = 4.5840 Å, c = 4.5840 Å
α = 60.00°, β = 60.00°, γ = 60.00°
Closest atoms and distances in Å follow each position.
Sites, in units of the cell vectors:
Zr1 0.0000 0.0000 0.0000  8 Mo 2.81
Pd1 0.5000 0.5000 0.5000  8 Mo 2.81
Mo1 0.2500 0.2500 0.2500  4 Pd 2.81, 4 Zr 2.81
Mo2 0.7500 0.7500 0.7500  4 Zr 2.81, 4 Pd 2.81